This record from Alexandria via LeMat-Bulk describes a relaxed LaPr2MgHg4 crystal. The functional is PBE.

abc: 9.599 9.599 9.599
angles: 32.02 32.02 32.02
Element x y z (fractional)
La (0.000, 0.000, 0.000)
Pr (0.242, 0.242, 0.242)
Pr (0.758, 0.758, 0.758)
Mg (0.500, 0.500, 0.500)
Hg (0.126, 0.126, 0.126)
Hg (0.377, 0.377, 0.377)
Hg (0.623, 0.623, 0.623)
Hg (0.874, 0.874, 0.874)

Results
Its density is 9.37 g/cm³. The magnetic moment is 0.0 μB per formula unit. The energy of formation from the pure elements comes out at -451 meV per atom.

***

This record from Alexandria via LeMat-Bulk describes a relaxed LaMg2HgPt crystal. The functional is PBE.

abc: 5.121 5.121 5.460
angles: 90.00 90.00 90.00
Element x y z (fractional)
La (0.000, 0.000, 0.000)
Mg (0.000, 0.500, 0.500)
Mg (0.500, 0.000, 0.500)
Hg (0.500, 0.500, 0.000)
Pt (0.000, 0.000, 0.500)

Results
Its density is 6.76 g/cm³. The magnetic moment is 0.0 μB per formula unit. The energy of formation from the pure elements comes out at -517 meV per atom.

***

This record from Alexandria via LeMat-Bulk describes a relaxed La2MgHgPt crystal. The functional is PBE.

abc: 5.622 5.622 5.066
angles: 90.00 90.00 90.00
Element x y z (fractional)
La (0.000, 0.500, 0.000)
La (0.500, 0.000, 0.000)
Mg (0.000, 0.000, 0.500)
Hg (0.500, 0.500, 0.500)
Pt (0.000, 0.000, 0.000)

Results
Its density is 7.24 g/cm³. The magnetic moment is 0.0 μB per formula unit. The energy of formation from the pure elements comes out at -522 meV per atom.

***

This record from Alexandria via LeMat-Bulk describes a relaxed LaPuMg2Hg4 crystal. The functional is PBE.

abc: 9.040 9.040 9.040
angles: 33.36 33.36 33.36
Element x y z (fractional)
La (0.000, 0.000, 0.000)
Pu (0.500, 0.500, 0.500)
Mg (0.248, 0.248, 0.248)
Mg (0.752, 0.752, 0.752)
Hg (0.127, 0.127, 0.127)
Hg (0.378, 0.378, 0.378)
Hg (0.622, 0.622, 0.622)
Hg (0.873, 0.873, 0.873)

Results
Its density is 10.30 g/cm³. The magnetic moment is 5.6 μB per formula unit. The energy of formation from the pure elements comes out at -355 meV per atom.